Entry 1:
Compound: LaIn2CoHg
Source: Alexandria
Functional: PBE
Structure: optimized geometry

abc: 5.0447 5.0447 5.0385
angles: 90.00 90.00 90.00
With the nearest neighbours (Å) after each atom.
Element x y z (fractional)
1 In 0.0000 0.5000 0.0000  2 Co 2.52
2 In 0.5000 0.0000 0.0000  2 Co 2.52
3 Co 0.0000 0.0000 0.0000  2 La 2.52, 4 In 2.52
4 Hg 0.5000 0.5000 0.5000  8 In 3.56, 4 La 3.57
5 La 0.0000 0.0000 0.5000  2 Co 2.52

Calculated values
Distance to the lowest polymorph of the same formula, meV/atom: 0
Formation energy from the elements, eV per atom: -0.313
SG: No. 123



Entry 2:
Compound: K2HfNb3O12
Source: Alexandria
Functional: PBE
Structure: optimized geometry

abc: 7.5790 7.5790 7.5790
angles: 60.22 60.22 60.22
With the nearest neighbours (Å) after each atom.
Element x y z (fractional)
1 Hf 0.0000 0.0000 0.0000  6 O 2.07
2 O 0.9400 0.3093 0.3093  2 Nb 2.00
3 O 0.6907 0.6907 0.0600  2 Nb 2.00
4 O 0.3241 0.9312 0.9312  1 Nb 1.99, 1 Hf 2.07
5 O 0.9312 0.9312 0.3241  1 Nb 1.99, 1 Hf 2.07
6 O 0.6759 0.0688 0.0688  1 Nb 1.99, 1 Hf 2.07
7 O 0.0688 0.0688 0.6759  1 Nb 1.99, 1 Hf 2.07
8 O 0.9312 0.3241 0.9312  1 Nb 1.99, 1 Hf 2.07
9 O 0.3093 0.3093 0.9400  2 Nb 2.00
10 O 0.0688 0.6759 0.0688  1 Nb 1.99, 1 Hf 2.07
11 O 0.0600 0.6907 0.6907  2 Nb 2.00
12 O 0.6907 0.0600 0.6907  2 Nb 2.00
13 O 0.3093 0.9400 0.3093  2 Nb 2.00
14 K 0.6570 0.6570 0.6570  6 O 2.98-3.33
15 K 0.3430 0.3430 0.3430  6 O 2.98-3.33
16 Nb 0.0000 0.0000 0.5000  6 O 1.99-2.00
17 Nb 0.0000 0.5000 0.0000  6 O 1.99-2.00
18 Nb 0.5000 0.0000 0.0000  6 O 1.99-2.00

Calculated values
E_form (uncorrected), eV per atom: -2.2383
SG: No. 166



Entry 3:
Compound: Pu2PtAu
Source: Alexandria
Functional: PBE
Structure: optimized geometry

abc: 4.1356 4.1356 7.3841
angles: 73.74 73.74 60.00
With the nearest neighbours (Å) after each atom.
Element x y z (fractional)
1 Pu 0.2570 0.2570 0.2290  3 Pt 2.87, 3 Au 3.05
2 Pu 0.7430 0.7430 0.7710  3 Pt 2.87, 3 Au 3.05
3 Pt 0.0000 0.0000 0.0000  6 Pu 2.87
4 Au 0.5000 0.5000 0.5000  6 Pu 3.05

Calculated values
Formation energy from the elements, eV per atom: -0.492
SG: No. 166



D(E_F) values, unit states/eV per cell, following the record order: 2.91 13.06 22.70.